<1>
ZrPH3 | GGA-PBE | relaxed

Cell: 3.739 3.739 3.739 Å, 90.00 90.00 90.00°
Fractional coordinates of all 5 atoms:
Zr: 0.000 0.000 0.000
P: 0.500 0.500 0.500
H: 0.500 0.000 0.000
H: 0.000 0.000 0.500
H: 0.000 0.500 0.000

Values from the calculation:
ρ in Mg/m³: 3.98
DOS(E_F) in states/eV/f.u.: 1.28

=====

<2>
ZrPH3 | GGA-PBE | relaxed

Cell: 3.511 3.511 3.511 Å, 90.00 90.00 90.00°
Fractional coordinates of all 5 atoms:
P: 0.000 0.000 0.000
H: 0.000 0.500 0.000
H: 0.500 0.000 0.000
H: 0.000 0.000 0.500
Zr: 0.500 0.500 0.500

Values from the calculation:
ρ in Mg/m³: 4.81
DOS(E_F) in states/eV/f.u.: 1.99

=====

Energetically preferred structure: <1> | next structure: +172 meV/atom

=====

<1>
Zr2PH | GGA-PBE | relaxed

Cell: 6.278 6.278 5.416 Å, 54.58 54.58 90.00°
Fractional coordinates of all 8 atoms:
H: 0.250 0.750 0.500
H: 0.500 0.500 0.000
Zr: 0.875 0.809 0.750
Zr: 0.375 0.441 0.750
Zr: 0.559 0.125 0.250
Zr: 0.191 0.625 0.250
P: 0.000 0.000 0.000
P: 0.750 0.250 0.500

Values from the calculation:
ρ in Mg/m³: 5.82
DOS(E_F) in states/eV/f.u.: 5.08

=====

<2>
Zr2PH | GGA-PBE | relaxed

Cell: 3.646 3.646 6.936 Å, 74.76 74.76 60.00°
Fractional coordinates of all 4 atoms:
P: 0.500 0.500 0.500
Zr: 0.093 0.093 0.721
Zr: 0.907 0.907 0.279
H: 0.000 0.000 0.000

Values from the calculation:
ρ in Mg/m³: 4.68
DOS(E_F) in states/eV/f.u.: 1.69

=====

<3>
Zr2PH | GGA-PBE | relaxed

Cell: 3.466 3.466 6.369 Å, 74.21 74.21 60.00°
Fractional coordinates of all 4 atoms:
P: 0.654 0.654 0.038
Zr: 0.415 0.415 0.755
Zr: 0.225 0.225 0.324
H: 0.825 0.825 0.525

Values from the calculation:
ρ in Mg/m³: 5.66
DOS(E_F) in states/eV/f.u.: 1.39

=====

Energetically preferred structure: <3> | next structure: +39 meV/atom

=====

<1>
Zr2PH | GGA-PBE | relaxed

Cell: 5.281 5.279 9.158 Å, 91.29 90.00 90.00°
Fractional coordinates of all 16 atoms:
H: 0.149 0.599 0.625
H: 0.149 0.901 0.875
H: 0.851 0.401 0.375
H: 0.851 0.099 0.125
Zr: 0.245 0.493 0.401
Zr: 0.755 0.493 0.150
Zr: 0.245 0.007 0.099
Zr: 0.755 0.993 0.901
Zr: 0.245 0.507 0.850
Zr: 0.755 0.507 0.599
Zr: 0.245 0.993 0.650
Zr: 0.755 0.007 0.350
P: 0.258 0.994 0.374
P: 0.742 0.494 0.874
P: 0.258 0.506 0.126
P: 0.742 0.006 0.626

Values from the calculation:
ρ in Mg/m³: 5.58
DOS(E_F) in states/eV/f.u.: 1.68

=====

<2>
Zr2PH | GGA-PBE | relaxed

Cell: 4.431 4.431 4.431 Å, 60.00 60.00 60.00°
Fractional coordinates of all 4 atoms:
Zr: 0.250 0.250 0.250
Zr: 0.750 0.750 0.750
H: 0.000 0.000 0.000
P: 0.500 0.500 0.500

Values from the calculation:
ρ in Mg/m³: 5.79
DOS(E_F) in states/eV/f.u.: 0.60

=====

Energetically preferred structure: <1> | next structure: +249 meV/atom

=====

<1>
PaH2 | GGA-PBE | relaxed

Cell: 3.318 3.320 7.267 Å, 103.25 90.00 119.98°
Fractional coordinates of all 6 atoms:
H: 0.856 0.716 0.576
H: 0.355 0.716 0.076
H: 0.638 0.282 0.925
H: 0.138 0.281 0.425
Pa: 0.747 0.499 0.251
Pa: 0.247 0.499 0.751

Values from the calculation:
ρ in Mg/m³: 11.57
DOS(E_F) in states/eV/f.u.: 3.14

=====

<2>
PaH2 | GGA-PBE | relaxed

Cell: 4.539 4.539 4.539 Å, 60.00 60.00 60.00°
Fractional coordinates of all 6 atoms:
Pa: 0.250 0.250 0.250
Pa: 0.000 0.000 0.000
H: 0.125 0.625 0.625
H: 0.625 0.125 0.625
H: 0.625 0.625 0.625
H: 0.625 0.625 0.125

Values from the calculation:
ρ in Mg/m³: 11.70
DOS(E_F) in states/eV/f.u.: 3.53

=====

<3>
PaH2 | GGA-PBE | relaxed

Cell: 3.187 3.187 3.869 Å, 114.32 114.32 90.00°
Fractional coordinates of all 3 atoms:
H: 0.643 0.643 0.286
H: 0.357 0.357 0.714
Pa: 0.000 0.000 0.000

Values from the calculation:
ρ in Mg/m³: 12.12
DOS(E_F) in states/eV/f.u.: 3.41

=====

Energetically preferred structure: <1> | next structure: +126 meV/atom

=====

<1>
PaH4 | GGA-PBE | relaxed

Cell: 4.119 3.630 6.220 Å, 90.00 119.80 90.00°
Fractional coordinates of all 10 atoms:
H: 0.348 0.500 0.283
H: 0.200 0.000 0.401
H: 0.200 0.500 0.901
H: 0.652 0.500 0.717
H: 0.800 0.500 0.099
H: 0.652 0.000 0.217
H: 0.800 0.000 0.599
H: 0.348 0.000 0.783
Pa: 0.000 0.000 0.000
Pa: 0.000 0.500 0.500

Values from the calculation:
ρ in Mg/m³: 9.67
DOS(E_F) in states/eV/f.u.: 3.77

=====

<2>
PaH4 | GGA-PBE | relaxed

Cell: 4.023 4.023 4.023 Å, 90.00 90.00 90.00°
Fractional coordinates of all 5 atoms:
H: 0.500 0.000 0.500
H: 0.000 0.000 0.000
H: 0.500 0.500 0.000
H: 0.000 0.500 0.500
Pa: 0.500 0.500 0.500

Values from the calculation:
ρ in Mg/m³: 5.99
DOS(E_F) in states/eV/f.u.: 4.76

=====

Energetically preferred structure: <1> | next structure: +688 meV/atom

=====

<1>
PaHPb | GGA-PBE | relaxed

Cell: 3.254 5.427 7.224 Å, 90.00 103.02 90.00°
Fractional coordinates of all 6 atoms:
H: 0.866 0.750 0.732
H: 0.134 0.250 0.268
Pb: 0.693 0.750 0.386
Pb: 0.307 0.250 0.614
Pa: 0.540 0.250 0.081
Pa: 0.460 0.750 0.919

Values from the calculation:
ρ in Mg/m³: 11.74
DOS(E_F) in states/eV/f.u.: 2.67

=====

<2>
PaHPb | GGA-PBE | relaxed

Cell: 3.255 3.255 6.248 Å, 105.10 105.10 90.00°
Fractional coordinates of all 3 atoms:
Pb: 0.004 0.004 0.008
H: 0.273 0.273 0.546
Pa: 0.723 0.723 0.445

Values from the calculation:
ρ in Mg/m³: 11.85
DOS(E_F) in states/eV/f.u.: 5.06

=====

<3>
PaHPb | GGA-PBE | relaxed

Cell: 3.454 3.454 5.597 Å, 90.00 90.00 120.00°
Fractional coordinates of all 3 atoms:
H: 0.333 0.667 0.605
Pa: 0.667 0.333 0.443
Pb: 0.000 0.000 0.952

Values from the calculation:
ρ in Mg/m³: 12.62
DOS(E_F) in states/eV/f.u.: 3.06

=====

Energetically preferred structure: <3> | next structure: +160 meV/atom

=====

<1>
PaHPd2 | GGA-PBE | relaxed

Cell: 3.068 3.068 7.765 Å, 78.61 78.61 60.00°
Fractional coordinates of all 4 atoms:
Pd: 0.114 0.114 0.658
Pd: 0.886 0.886 0.342
Pa: 0.000 0.000 0.000
H: 0.500 0.500 0.500

Values from the calculation:
ρ in Mg/m³: 11.99
DOS(E_F) in states/eV/f.u.: 4.24

=====

<2>
PaHPd2 | GGA-PBE | relaxed

Cell: 3.099 3.099 6.540 Å, 90.00 90.00 90.00°
Fractional coordinates of all 4 atoms:
Pa: 0.500 0.500 0.000
Pd: 0.000 0.000 0.299
Pd: 0.000 0.000 0.701
H: 0.500 0.500 0.500

Values from the calculation:
ρ in Mg/m³: 11.76
DOS(E_F) in states/eV/f.u.: 2.24

=====

Energetically preferred structure: <2> | next structure: +72 meV/atom

=====

<1>
PaH2Pd | GGA-PBE | relaxed

Cell: 3.214 3.214 6.131 Å, 74.81 74.81 60.00°
Fractional coordinates of all 4 atoms:
H: 0.097 0.097 0.708
H: 0.903 0.903 0.292
Pd: 0.000 0.000 0.000
Pa: 0.500 0.500 0.500

Values from the calculation:
ρ in Mg/m³: 10.78
DOS(E_F) in states/eV/f.u.: 3.15

=====

<2>
PaH2Pd | GGA-PBE | relaxed

Cell: 3.764 3.763 4.657 Å, 90.01 113.81 120.01°
Fractional coordinates of all 4 atoms:
H: 0.721 0.663 0.384
H: 0.847 0.225 0.072
Pa: 0.284 0.944 0.228
Pd: 0.284 0.444 0.728

Values from the calculation:
ρ in Mg/m³: 11.16
DOS(E_F) in states/eV/f.u.: 2.73

=====

<3>
PaH2Pd | GGA-PBE | relaxed

Cell: 2.896 4.127 4.127 Å, 90.00 90.00 90.00°
Fractional coordinates of all 4 atoms:
Pa: 0.500 0.500 0.500
H: 0.000 0.000 0.500
H: 0.000 0.500 0.000
Pd: 0.500 0.000 0.000

Values from the calculation:
ρ in Mg/m³: 11.43
DOS(E_F) in states/eV/f.u.: 1.84

=====

Energetically preferred structure: <2> | next structure: +133 meV/atom

=====

<1>
Pa2HPd | GGA-PBE | relaxed

Cell: 3.217 3.217 6.735 Å, 90.00 90.00 90.00°
Fractional coordinates of all 4 atoms:
Pd: 0.500 0.500 0.500
Pa: 0.000 0.000 0.201
Pa: 0.000 0.000 0.799
H: 0.500 0.500 0.000

Values from the calculation:
ρ in Mg/m³: 13.57
DOS(E_F) in states/eV/f.u.: 6.25

=====

<2>
Pa2HPd | GGA-PBE | relaxed

Cell: 4.170 4.170 5.373 Å, 67.17 67.17 60.00°
Fractional coordinates of all 4 atoms:
Pa: 0.222 0.222 0.333
Pa: 0.778 0.778 0.667
Pd: 0.000 0.000 0.000
H: 0.500 0.500 0.500

Values from the calculation:
ρ in Mg/m³: 13.07
DOS(E_F) in states/eV/f.u.: 5.04

=====

Energetically preferred structure: <2> | next structure: +49 meV/atom

=====

<1>
PaHPt | GGA-PBE | relaxed

Cell: 3.742 4.134 6.300 Å, 90.00 107.30 90.00°
Fractional coordinates of all 6 atoms:
Pa: 0.646 0.250 0.292
Pa: 0.354 0.750 0.708
Pt: 0.078 0.750 0.156
Pt: 0.922 0.250 0.844
H: 0.256 0.250 0.512
H: 0.744 0.750 0.488

Values from the calculation:
ρ in Mg/m³: 15.25
DOS(E_F) in states/eV/f.u.: 1.68

=====

<2>
PaHPt | GGA-PBE | relaxed

Cell: 3.861 3.848 3.848 Å, 120.00 90.00 90.00°
Fractional coordinates of all 3 atoms:
Pt: 0.667 0.333 0.667
Pa: 0.167 0.667 0.333
H: 0.166 0.000 0.000

Values from the calculation:
ρ in Mg/m³: 14.33
DOS(E_F) in states/eV/f.u.: 2.46

=====

<3>
PaHPt | GGA-PBE | relaxed

Cell: 3.910 3.910 6.323 Å, 96.32 96.32 85.90°
Fractional coordinates of all 6 atoms:
Pa: 0.713 0.713 0.797
Pa: 0.287 0.287 0.203
H: 0.242 0.758 0.000
H: 0.758 0.242 0.000
Pt: 0.196 0.196 0.658
Pt: 0.804 0.804 0.342

Values from the calculation:
ρ in Mg/m³: 14.88
DOS(E_F) in states/eV/f.u.: 2.92

=====

Energetically preferred structure: <1> | next structure: +53 meV/atom

=====

<1>
PuPaH | GGA-PBE | relaxed

Cell: 3.098 3.098 5.731 Å, 105.68 105.68 90.00°
Fractional coordinates of all 3 atoms:
H: 0.999 0.999 0.998
Pu: 0.633 0.633 0.265
Pa: 0.368 0.368 0.737

Values from the calculation:
ρ in Mg/m³: 15.56
DOS(E_F) in states/eV/f.u.: 4.90

=====

<2>
PuPaH | GGA-PBE | relaxed

Cell: 3.319 3.402 8.127 Å, 90.00 90.00 90.00°
Fractional coordinates of all 6 atoms:
Pu: 0.500 0.500 0.559
Pu: 0.000 0.000 0.441
Pa: 0.000 0.500 0.189
Pa: 0.500 0.000 0.811
H: 0.500 0.500 0.992
H: 0.000 0.000 0.008

Values from the calculation:
ρ in Mg/m³: 17.23
DOS(E_F) in states/eV/f.u.: 4.94

=====

<3>
PuPaH | GGA-PBE | relaxed

Cell: 3.263 3.263 5.755 Å, 90.00 90.00 120.00°
Fractional coordinates of all 3 atoms:
Pu: 0.000 0.000 0.925
Pa: 0.667 0.333 0.410
H: 0.333 0.667 0.665

Values from the calculation:
ρ in Mg/m³: 14.89
DOS(E_F) in states/eV/f.u.: 8.13

=====

Energetically preferred structure: <3> | next structure: +119 meV/atom